# 1
# ScRu2Pt | Alexandria | PBE | relaxed
# E (eV/atom): -7.898
# V (A^3/atom): 16.01
# Energy of formation (meV per atom): -167
data_ScRu2Pt
_symmetry_space_group_name_H-M 'F -4 3 m'
_symmetry_Int_Tables_number 216
_symmetry_space_group_name_Hall 'F -4 2 3'
_cell_length_a 6.351
_cell_length_b 6.351
_cell_length_c 6.351
_cell_angle_alpha 90.00
_cell_angle_beta 90.00
_cell_angle_gamma 90.00
loop_
_atom_site_label
_atom_site_type_symbol
_atom_site_fract_x
_atom_site_fract_y
_atom_site_fract_z
Sc1 Sc 0.000 0.000 0.000
Ru1 Ru 0.000 0.000 0.500
Ru2 Ru 0.250 0.250 0.250
Pt1 Pt 0.250 0.250 0.750

=====

# 2
# La5In2Sb | Alexandria | PBE | relaxed
# Formation energy from raw total energies (eV per atom): -0.588
# E (eV/atom): -4.868
# V (A^3/atom): 32.39
data_La5In2Sb
_symmetry_space_group_name_H-M 'I 4/m c m'
_symmetry_Int_Tables_number 140
_symmetry_space_group_name_Hall '-I 4 2c'
_cell_length_a 8.813
_cell_length_b 8.813
_cell_length_c 13.346
_cell_angle_alpha 90.00
_cell_angle_beta 90.00
_cell_angle_gamma 90.00
loop_
_atom_site_label
_atom_site_type_symbol
_atom_site_fract_x
_atom_site_fract_y
_atom_site_fract_z
La1 La 0.000 0.000 0.000
La2 La 0.169 0.331 0.156
In1 In 0.127 0.373 0.500
Sb1 Sb 0.000 0.000 0.250

=====

# 3
# TbEr2TmSc2 | Alexandria | PBE | relaxed
# E (eV/atom): -5.073
# V (A^3/atom): 28.63
# Energy of formation (meV per atom): 76
data_TbEr2TmSc2
_symmetry_space_group_name_H-M 'P n n m'
_symmetry_Int_Tables_number 58
_cell_length_a 6.781
_cell_length_b 9.355
_cell_length_c 5.414
_cell_angle_alpha 90.00
_cell_angle_beta 90.00
_cell_angle_gamma 90.00
loop_
_symmetry_equiv_pos_as_xyz
'x,y,z'
'-x,-y,-z'
'-x,-y,z'
'x,y,-z'
'x+1/2,-y+1/2,-z+1/2'
'-x+1/2,y+1/2,z+1/2'
'-x+1/2,y+1/2,-z+1/2'
'x+1/2,-y+1/2,z+1/2'
loop_
_atom_site_label
_atom_site_type_symbol
_atom_site_fract_x
_atom_site_fract_y
_atom_site_fract_z
Tb1 Tb 0.000 0.000 0.000
Er1 Er 0.248 0.334 0.000
Tm1 Tm 0.000 0.500 0.500
Sc1 Sc 0.250 0.167 0.500

=====

# 4
# SmY2In2 | Alexandria | PBE | relaxed
# Offset from the most stable computed form (kJ/mol of atoms): 0.0
# E (eV/atom): -5.024
# V (A^3/atom): 28.53
# Energy of formation (meV per atom): -399
data_SmY2In2
_symmetry_space_group_name_H-M 'P 1 21/m 1'
_symmetry_Int_Tables_number 11
_cell_length_a 3.795
_cell_length_b 5.397
_cell_length_c 14.057
_cell_angle_alpha 90.00
_cell_angle_beta 97.77
_cell_angle_gamma 90.00
loop_
_symmetry_equiv_pos_as_xyz
'x,y,z'
'-x,-y,-z'
'-x,y+1/2,-z'
'x,-y+1/2,z'
loop_
_atom_site_label
_atom_site_type_symbol
_atom_site_fract_x
_atom_site_fract_y
_atom_site_fract_z
Sm1 Sm 0.147 0.250 0.295
Y1 Y 0.049 0.750 0.098
Y2 Y 0.237 0.750 0.474
In1 In 0.356 0.250 0.712
In2 In 0.452 0.750 0.905

=====

# 5
# AcLa2Pt | Alexandria | PBE | relaxed
# Offset from the most stable computed form (kJ/mol of atoms): 23.1
# E (eV/atom): -5.404
# V (A^3/atom): 39.08
# Energy of formation (meV per atom): -403
data_AcLa2Pt
_symmetry_space_group_name_H-M 'R -3 m'
_symmetry_Int_Tables_number 166
_symmetry_space_group_name_Hall '-R 3 2"'
_cell_length_a 4.0425
_cell_length_b 4.0425
_cell_length_c 33.1383
_cell_angle_alpha 90.00
_cell_angle_beta 90.00
_cell_angle_gamma 120.00
loop_
_atom_site_label
_atom_site_type_symbol
_atom_site_fract_x
_atom_site_fract_y
_atom_site_fract_z
Ac1 Ac 0.0000 0.0000 0.0000
La1 La 0.0000 0.0000 0.1143
Pt1 Pt 0.0000 0.0000 0.5000

=====

# 6
# LaEr8Tl6 | Alexandria | PBE | relaxed
# E (eV/atom): -3.828
# V (A^3/atom): 31.00
# Energy of formation (meV per atom): -119
data_LaEr8Tl6
_symmetry_space_group_name_H-M 'R -3'
_symmetry_Int_Tables_number 148
_symmetry_space_group_name_Hall '-R 3'
_cell_length_a 9.1122
_cell_length_b 9.1122
_cell_length_c 19.4003
_cell_angle_alpha 90.00
_cell_angle_beta 90.00
_cell_angle_gamma 120.00
loop_
_atom_site_label
_atom_site_type_symbol
_atom_site_fract_x
_atom_site_fract_y
_atom_site_fract_z
La1 La 0.0000 0.0000 0.0000
Er1 Er 0.0000 0.0000 0.3321
Er2 Er 0.0019 0.3307 0.1098
Tl1 Tl 0.9999 0.3433 0.9349

=====

# 7
# Ho4H2Pb3 | Alexandria | PBE | relaxed
# E (eV/atom): -4.515
# V (A^3/atom): 22.87
data_Ho4H2Pb3
_symmetry_space_group_name_H-M 'C 1 2/c 1'
_symmetry_Int_Tables_number 15
_cell_length_a 13.496
_cell_length_b 9.614
_cell_length_c 6.533
_cell_angle_alpha 90.00
_cell_angle_beta 103.80
_cell_angle_gamma 90.00
loop_
_symmetry_equiv_pos_as_xyz
'x,y,z'
'-x,-y,-z'
'-x,y,-z+1/2'
'x,-y,z+1/2'
'x+1/2,y+1/2,z'
'-x+1/2,-y+1/2,-z'
'-x+1/2,y+1/2,-z+1/2'
'x+1/2,-y+1/2,z+1/2'
loop_
_atom_site_label
_atom_site_type_symbol
_atom_site_fract_x
_atom_site_fract_y
_atom_site_fract_z
Ho1 Ho 0.114 0.230 0.033
Ho2 Ho 0.195 0.424 0.593
H1 H 0.226 0.367 0.934
Pb1 Pb 0.000 0.490 0.250
Pb2 Pb 0.111 0.109 0.563

=====

# 8
# AlNiIr2 | Alexandria | PBE | relaxed
# E (eV/atom): -6.694
# V (A^3/atom): 15.12
# Energy of formation (meV per atom): 117
data_AlNiIr2
_symmetry_space_group_name_H-M 'I -4 2 d'
_symmetry_Int_Tables_number 122
_symmetry_space_group_name_Hall 'I -4 2bw'
_cell_length_a 3.755
_cell_length_b 3.755
_cell_length_c 17.150
_cell_angle_alpha 90.00
_cell_angle_beta 90.00
_cell_angle_gamma 90.00
loop_
_atom_site_label
_atom_site_type_symbol
_atom_site_fract_x
_atom_site_fract_y
_atom_site_fract_z
Al1 Al 0.000 0.000 0.000
Ni1 Ni 0.000 0.000 0.500
Ir1 Ir 0.232 0.250 0.625

=====

# 9
# Hf2H7Ru2 | Alexandria | PBE | relaxed
# E (eV/atom): -5.864
# V (A^3/atom): 8.13
data_Hf2H7Ru2
_symmetry_space_group_name_H-M 'C m m m'
_symmetry_Int_Tables_number 65
_symmetry_space_group_name_Hall '-C 2 2'
_cell_length_a 6.163
_cell_length_b 6.755
_cell_length_c 4.299
_cell_angle_alpha 90.00
_cell_angle_beta 90.00
_cell_angle_gamma 90.00
loop_
_atom_site_label
_atom_site_type_symbol
_atom_site_fract_x
_atom_site_fract_y
_atom_site_fract_z
Hf1 Hf 0.242 0.000 0.000
H1 H 0.000 0.000 0.500
H2 H 0.000 0.500 0.275
H3 H 0.250 0.250 0.263
Ru1 Ru 0.000 0.263 0.500

=====

Among the records above, which one has the lowest E?
ScRu2Pt

=====

Which value of E does entry 8 give?
-6.694 eV/atom

=====

The highest E belongs to which entry?
LaEr8Tl6

=====

Among the records above, which one has the highest V?
AcLa2Pt